[1]
# EuGdCu (GGA-PBE, relaxed)
# Formation energy from the elements   118 meV/atom
# VASP energy   -9.366 eV per atom
# Offset from the most stable computed form   190.4 meV/atom
# N(E_F)   1.254 states/eV per atom
data_EuGdCu
_chemical_formula_sum 'Eu1 Gd1 Cu1'
_space_group_name_H-M_alt 'P 1'
_space_group_IT_number 1
_space_group_name_Hall 'P 1'
_cell_length_a 4.834
_cell_length_b 4.834
_cell_length_c 4.070
_cell_angle_alpha 90.00
_cell_angle_beta 90.00
_cell_angle_gamma 120.00
loop_
_atom_site_label
_atom_site_fract_x
_atom_site_fract_y
_atom_site_fract_z
_atom_site_occupancy
Eu1 0.000 0.000 0.290 1
Cu1 0.667 0.333 0.948 1
Gd1 0.333 0.667 0.761 1

[2]
# EuGdCuIr (GGA-PBE, relaxed)
# Formation energy from the elements   -378 meV/atom
# VASP energy   -9.706 eV per atom
# N(E_F)   0.990 states/eV per atom
data_EuGdCuIr
_chemical_formula_sum 'Eu1 Gd1 Cu1 Ir1'
_space_group_name_H-M_alt 'P 1'
_space_group_IT_number 1
_space_group_name_Hall 'P 1'
_cell_length_a 4.960
_cell_length_b 4.960
_cell_length_c 4.960
_cell_angle_alpha 60.00
_cell_angle_beta 60.00
_cell_angle_gamma 60.00
loop_
_atom_site_label
_atom_site_fract_x
_atom_site_fract_y
_atom_site_fract_z
_atom_site_occupancy
Ir1 0.750 0.750 0.750 1
Cu1 0.250 0.250 0.250 1
Gd1 0.500 0.500 0.500 1
Eu1 0.000 0.000 0.000 1

[3]
# EuGdCuNi (GGA-PBE, relaxed)
# Formation energy from the elements   -141 meV/atom
# VASP energy   -8.699 eV per atom
# N(E_F)   1.528 states/eV per atom
data_EuGdCuNi
_chemical_formula_sum 'Eu1 Gd1 Cu1 Ni1'
_space_group_name_H-M_alt 'P 1'
_space_group_IT_number 1
_space_group_name_Hall 'P 1'
_cell_length_a 4.953
_cell_length_b 4.953
_cell_length_c 4.953
_cell_angle_alpha 60.00
_cell_angle_beta 60.00
_cell_angle_gamma 60.00
loop_
_atom_site_label
_atom_site_fract_x
_atom_site_fract_y
_atom_site_fract_z
_atom_site_occupancy
Eu1 0.500 0.500 0.500 1
Cu1 0.750 0.750 0.750 1
Gd1 0.000 0.000 0.000 1
Ni1 0.250 0.250 0.250 1

[4]
# EuGdCuPd (GGA-PBE, relaxed)
# Formation energy from the elements   -426 meV/atom
# VASP energy   -8.837 eV per atom
# N(E_F)   1.883 states/eV per atom
data_EuGdCuPd
_chemical_formula_sum 'Eu1 Gd1 Cu1 Pd1'
_space_group_name_H-M_alt 'P 1'
_space_group_IT_number 1
_space_group_name_Hall 'P 1'
_cell_length_a 5.058
_cell_length_b 5.058
_cell_length_c 5.058
_cell_angle_alpha 60.00
_cell_angle_beta 60.00
_cell_angle_gamma 60.00
loop_
_atom_site_label
_atom_site_fract_x
_atom_site_fract_y
_atom_site_fract_z
_atom_site_occupancy
Eu1 0.750 0.750 0.750 1
Cu1 0.500 0.500 0.500 1
Pd1 0.000 0.000 0.000 1
Gd1 0.250 0.250 0.250 1